[1]
# HfNiBr3

An optimized crystal structure of HfNiBr3 (GGA-PBE, Alexandria via LeMat-Bulk).

Geometry as CIF:
```
data_HfNiBr3
_chemical_formula_sum 'Hf1 Ni1 Br3'
_cell_length_a 4.8460
_cell_length_b 4.8460
_cell_length_c 4.8460
_cell_angle_alpha 90.00
_cell_angle_beta 90.00
_cell_angle_gamma 90.00
_space_group_name_H-M_alt 'P 1'
_space_group_IT_number 1
_space_group_name_Hall 'P 1'
loop_
_atom_site_label
_atom_site_fract_x
_atom_site_fract_y
_atom_site_fract_z
Hf1 0.5000 0.5000 0.5000
Br1 0.0000 0.5000 0.0000
Br2 0.0000 0.0000 0.5000
Ni1 0.0000 0.0000 0.0000
Br3 0.5000 0.0000 0.0000
```

***

[2]
# Ba3LuB9O18

An optimized crystal structure of Ba3LuB9O18 (GGA-PBE, Alexandria via LeMat-Bulk).

Geometry as CIF:
```
data_Ba3LuB9O18
_chemical_formula_sum 'Ba6 Lu2 B18 O36'
_cell_length_a 7.2616
_cell_length_b 7.2616
_cell_length_c 17.2018
_cell_angle_alpha 90.00
_cell_angle_beta 90.00
_cell_angle_gamma 120.00
_space_group_name_H-M_alt 'P 1'
_space_group_IT_number 1
_space_group_name_Hall 'P 1'
loop_
_atom_site_label
_atom_site_fract_x
_atom_site_fract_y
_atom_site_fract_z
O1 0.5060 0.3841 0.5809
B1 0.8326 0.2804 0.5806
O2 0.5852 0.9184 0.7500
B2 0.4478 0.1674 0.5806
O3 0.0089 0.7621 0.4209
Ba1 0.6667 0.3333 0.1302
Lu1 0.0000 0.0000 0.0000
O4 0.1219 0.5060 0.4191
Ba2 0.6667 0.3333 0.3698
O5 0.2379 0.2468 0.4209
O6 0.4148 0.0816 0.2500
O7 0.3841 0.8781 0.4191
O8 0.9184 0.3332 0.2500
O9 0.2468 0.0089 0.5791
O10 0.2468 0.0089 0.9209
B3 0.3791 0.8834 0.2500
B4 0.8326 0.2804 0.9194
Lu2 0.0000 0.0000 0.5000
O11 0.1675 0.7102 0.2500
O12 0.7621 0.7532 0.5791
O13 0.7532 0.9911 0.4209
B5 0.1166 0.4957 0.2500
O14 0.7532 0.9911 0.0791
B6 0.7196 0.5522 0.9194
B7 0.1674 0.7196 0.4194
O15 0.1219 0.5060 0.0809
O16 0.5060 0.3841 0.9191
B8 0.6209 0.1166 0.7500
Ba3 0.3333 0.6667 0.8698
B9 0.8834 0.5043 0.7500
B10 0.1674 0.7196 0.0806
B11 0.2804 0.4478 0.4194
B12 0.5043 0.6209 0.2500
O17 0.8781 0.4940 0.9191
B13 0.5522 0.8326 0.4194
O18 0.9911 0.2379 0.9209
B14 0.7196 0.5522 0.5806
O19 0.3332 0.4148 0.7500
O20 0.0816 0.6668 0.7500
O21 0.4940 0.6159 0.4191
B15 0.4957 0.3791 0.7500
O22 0.6159 0.1219 0.9191
B16 0.5522 0.8326 0.0806
O23 0.8781 0.4940 0.5809
O24 0.7621 0.7532 0.9209
O25 0.3841 0.8781 0.0809
O26 0.7102 0.5426 0.7500
O27 0.6159 0.1219 0.5809
Ba4 0.0000 0.0000 0.2500
Ba5 0.0000 0.0000 0.7500
O28 0.0089 0.7621 0.0791
B17 0.4478 0.1674 0.9194
O29 0.2379 0.2468 0.0791
Ba6 0.3333 0.6667 0.6302
B18 0.2804 0.4478 0.0806
O30 0.9911 0.2379 0.5791
O31 0.5426 0.8325 0.2500
O32 0.2898 0.4574 0.2500
O33 0.8325 0.2898 0.7500
O34 0.4940 0.6159 0.0809
O35 0.6668 0.5852 0.2500
O36 0.4574 0.1675 0.7500
```

***

Respective energy values: -19.13; -244.38 eV/f.u..